(1)
# Nd2Tl | Alexandria via LeMat-Bulk | PBE-GGA | relaxed
data_Nd2Tl
_space_group_name_H-M_alt 'P n m a'
_space_group_IT_number 62
_cell_length_a 6.9307
_cell_length_b 5.2944
_cell_length_c 10.3580
_cell_angle_alpha 90.00
_cell_angle_beta 90.00
_cell_angle_gamma 90.00
loop_
_space_group_symop_operation_xyz
'x,y,z'
'-x,-y,-z'
'-x+1/2,-y,z+1/2'
'x+1/2,y,-z+1/2'
'x+1/2,-y+1/2,-z+1/2'
'-x+1/2,y+1/2,z+1/2'
'-x,y+1/2,-z'
'x,-y+1/2,z'
loop_
_atom_site_label
_atom_site_fract_x
_atom_site_fract_y
_atom_site_fract_z
Nd1 0.0465 0.2500 0.2070
Nd2 0.1827 0.2500 0.5671
Tl1 0.2093 0.2500 0.8869
# formation enthalpy at 0 K = -0.27 eV/atom


(2)
# Nd6TmTl2 | Alexandria via LeMat-Bulk | PBE-GGA | relaxed
data_Nd6TmTl2
_space_group_name_H-M_alt 'C 1 2/c 1'
_space_group_IT_number 15
_cell_length_a 16.1745
_cell_length_b 11.8309
_cell_length_c 6.0085
_cell_angle_alpha 90.00
_cell_angle_beta 99.06
_cell_angle_gamma 90.00
loop_
_space_group_symop_operation_xyz
'x,y,z'
'-x,-y,-z'
'-x,y,-z+1/2'
'x,-y,z+1/2'
'x+1/2,y+1/2,z'
'-x+1/2,-y+1/2,-z'
'-x+1/2,y+1/2,-z+1/2'
'x+1/2,-y+1/2,z+1/2'
loop_
_atom_site_label
_atom_site_fract_x
_atom_site_fract_y
_atom_site_fract_z
Nd1 0.0586 0.1134 0.0340
Nd2 0.1133 0.3889 0.3016
Nd3 0.2370 0.3761 0.8335
Tm1 0.0000 0.3563 0.7500
Tl1 0.1556 0.1374 0.5982
# formation enthalpy at 0 K = -0.12 eV/atom
# energy relative to the lowest polymorph listed for this composition = 35 meV per atom


(3)
# Nd5TmTl4 | Alexandria via LeMat-Bulk | PBE-GGA | relaxed
data_Nd5TmTl4
_space_group_name_H-M_alt 'P m m n'
_space_group_IT_number 59
_cell_length_a 8.4753
_cell_length_b 9.3383
_cell_length_c 8.7218
_cell_angle_alpha 90.00
_cell_angle_beta 90.00
_cell_angle_gamma 90.00
loop_
_space_group_symop_operation_xyz
'x,y,z'
'-x,-y,-z'
'-x+1/2,-y+1/2,z'
'x+1/2,y+1/2,-z'
'x+1/2,-y,-z'
'-x+1/2,y,z'
'-x,y+1/2,-z'
'x,-y+1/2,z'
loop_
_atom_site_label
_atom_site_fract_x
_atom_site_fract_y
_atom_site_fract_z
Nd1 0.0113 0.0564 0.2343
Nd2 0.2500 0.7500 0.1691
Tm1 0.2500 0.2500 0.5855
Tl1 0.0835 0.2500 0.9339
Tl2 0.2500 0.5829 0.5002
# formation enthalpy at 0 K = -0.03 eV/atom
# energy relative to the lowest polymorph listed for this composition = 263 meV per atom


(4)
# Nd9Tm2Tl | Alexandria via LeMat-Bulk | PBE-GGA | relaxed
data_Nd9Tm2Tl
_space_group_name_H-M_alt 'P 4/m m m'
_space_group_IT_number 123
_space_group_name_Hall '-P 4 2'
_cell_length_a 5.0657
_cell_length_b 5.0657
_cell_length_c 15.4642
_cell_angle_alpha 90.00
_cell_angle_beta 90.00
_cell_angle_gamma 90.00
loop_
_atom_site_label
_atom_site_fract_x
_atom_site_fract_y
_atom_site_fract_z
Nd1 0.0000 0.0000 0.0000
Nd2 0.0000 0.0000 0.3315
Nd3 0.0000 0.5000 0.1632
Nd4 0.0000 0.5000 0.5000
Tm1 0.5000 0.5000 0.3324
Tl1 0.5000 0.5000 0.0000
# formation enthalpy at 0 K = -0.05 eV/atom


(5)
# NdTm6Tl2 | Alexandria via LeMat-Bulk | PBE-GGA | relaxed
data_NdTm6Tl2
_space_group_name_H-M_alt 'C 1 2/m 1'
_space_group_IT_number 12
_cell_length_a 12.6134
_cell_length_b 3.7078
_cell_length_c 11.9671
_cell_angle_alpha 90.00
_cell_angle_beta 107.73
_cell_angle_gamma 90.00
loop_
_space_group_symop_operation_xyz
'x,y,z'
'-x,-y,-z'
'-x,y,-z'
'x,-y,z'
'x+1/2,y+1/2,z'
'-x+1/2,-y+1/2,-z'
'-x+1/2,y+1/2,-z'
'x+1/2,-y+1/2,z'
loop_
_atom_site_label
_atom_site_fract_x
_atom_site_fract_y
_atom_site_fract_z
Nd1 0.0000 0.0000 0.0000
Tm1 0.0109 0.0000 0.3501
Tm2 0.1871 0.5000 0.8735
Tm3 0.1898 0.5000 0.5809
Tl1 0.1429 0.5000 0.2194
# formation enthalpy at 0 K = -0.14 eV/atom


(6)
# Nd4TmTl4 | Alexandria via LeMat-Bulk | PBE-GGA | relaxed
data_Nd4TmTl4
_space_group_name_H-M_alt 'P 42/n'
_space_group_IT_number 86
_cell_length_a 9.3549
_cell_length_b 9.3549
_cell_length_c 6.2684
_cell_angle_alpha 90.00
_cell_angle_beta 90.00
_cell_angle_gamma 90.00
loop_
_space_group_symop_operation_xyz
'x,y,z'
'-x,-y,-z'
'-y,x+1/2,z+1/2'
'y,-x+1/2,-z+1/2'
'-x+1/2,-y+1/2,z'
'x+1/2,y+1/2,-z'
'y+1/2,-x,z+1/2'
'-y+1/2,x,-z+1/2'
loop_
_atom_site_label
_atom_site_fract_x
_atom_site_fract_y
_atom_site_fract_z
Nd1 0.0800 0.8245 0.1175
Tm1 0.2500 0.2500 0.7500
Tl1 0.0475 0.1513 0.3742
# formation enthalpy at 0 K = -0.20 eV/atom


(7)
# Nd2Tm2Tl7 | Alexandria via LeMat-Bulk | PBE-GGA | relaxed
data_Nd2Tm2Tl7
_space_group_name_H-M_alt 'C m m m'
_space_group_IT_number 65
_space_group_name_Hall '-C 2 2'
_cell_length_a 9.2522
_cell_length_b 11.0911
_cell_length_c 7.0239
_cell_angle_alpha 90.00
_cell_angle_beta 90.00
_cell_angle_gamma 90.00
loop_
_atom_site_label
_atom_site_fract_x
_atom_site_fract_y
_atom_site_fract_z
Nd1 0.1860 0.0000 0.0000
Tm1 0.0000 0.2855 0.5000
Tl1 0.0000 0.0000 0.5000
Tl2 0.0000 0.5000 0.2182
Tl3 0.2500 0.2500 0.2213
# formation enthalpy at 0 K = 0.07 eV/atom


(8)
# Nd8Tm2Tl | Alexandria via LeMat-Bulk | PBE-GGA | relaxed
data_Nd8Tm2Tl
_space_group_name_H-M_alt 'C 1 2/m 1'
_space_group_IT_number 12
_cell_length_a 18.3599
_cell_length_b 5.0614
_cell_length_c 8.1196
_cell_angle_alpha 90.00
_cell_angle_beta 105.86
_cell_angle_gamma 90.00
loop_
_space_group_symop_operation_xyz
'x,y,z'
'-x,-y,-z'
'-x,y,-z'
'x,-y,z'
'x+1/2,y+1/2,z'
'-x+1/2,-y+1/2,-z'
'-x+1/2,y+1/2,-z'
'x+1/2,-y+1/2,z'
loop_
_atom_site_label
_atom_site_fract_x
_atom_site_fract_y
_atom_site_fract_z
Nd1 0.0456 0.0000 0.2262
Nd2 0.0913 0.5000 0.9440
Nd3 0.1370 0.0000 0.6808
Nd4 0.1797 0.5000 0.4087
Tm1 0.2250 0.0000 0.1327
Tl1 0.0000 0.5000 0.5000
# formation enthalpy at 0 K = -0.04 eV/atom
# energy relative to the lowest polymorph listed for this composition = 0 meV per atom


VASP energy values, unit eV per atom, following the record order: -4.241, -4.317, -3.804, -4.569, -4.172, -3.865, -3.120, -4.539.